(1)
This record from the Alexandria database describes ZrTiSbI2 after structural relaxation. The functional is GGA-PBE.

Output
Final energy ... -17.52 eV/cell
Volume ... 40.5 Å³ per atom
Total moment ... 2.786 μB per formula unit
N(E_F) ... 6.41 states/eV/f.u.

Lattice parameters (Å, degrees): 6.004 6.004 5.611 90.00 90.00 90.00
Space group P4/mmm (No. 123)
Inequivalent atoms, fractional coordinates:
1 Zr 0.000 0.000 0.000
2 Ti 0.500 0.500 0.000
3 Sb 0.000 0.000 0.500
4 I 0.000 0.500 0.500

---

(2)
This record from the Alexandria database describes CeMgCu2 after structural relaxation. The functional is GGA-PBE.

Output
Final energy ... -15.98 eV/cell
Volume ... 18.2 Å³ per atom
Total moment ... 0.288 μB per formula unit
N(E_F) ... 5.22 states/eV/f.u.

Lattice parameters (Å, degrees): 3.190 3.190 7.142 90.00 90.00 90.00
Space group P4/mmm (No. 123)
Inequivalent atoms, fractional coordinates:
1 Ce 0.000 0.000 0.000
2 Mg 0.000 0.000 0.500
3 Cu 0.500 0.500 0.286

---

(3)
This record from the Alexandria database describes La3NdPd8 after structural relaxation. The functional is GGA-PBE.

Output
Final energy ... -70.17 eV/cell
Volume ... 20.3 Å³ per atom
Total moment ... 0.000 μB per formula unit
N(E_F) ... 6.64 states/eV/f.u.

Lattice parameters (Å, degrees): 5.5623 5.5623 9.1132 90.00 90.00 120.00
Space group P3m1 (No. 156)
Inequivalent atoms, fractional coordinates:
1 La 0.0000 0.0000 0.0000
2 La 0.0000 0.0000 0.3726
3 La 0.3333 0.6667 0.8683
4 Nd 0.3333 0.6667 0.4978
5 Pd 0.0026 0.5013 0.1857
6 Pd 0.3316 0.1658 0.6837
7 Pd 0.6667 0.3333 0.4347
8 Pd 0.6667 0.3333 0.9354